Compound: BaLuAgTe2S
Source: OQMD
Functional: GGA-PBE
Structure: relaxed

Results
Magnetic moment in μB/f.u.: 0.0
E in eV/atom: -4.61

a = 8.260 Å, b = 4.269 Å, c = 11.094 Å
α = 90.00°, β = 108.65°, γ = 90.00°
Space group P2_1/m (No. 11)
Unique sites:
Ba (0.218, 0.250, 0.283)
Lu (0.307, 0.750, 0.834)
Ag (0.084, 0.250, 0.588)
Te (0.293, 0.750, 0.552)
Te (0.411, 0.750, 0.123)
S (0.097, 0.250, 0.822)